KCuTcTeSe2 (GGA-PBE, optimized geometry); space-group type = P2_1/m, No. 11; energy relative to the lowest polymorph listed for this composition = 0.0 kJ/mol of formula units
1.0
8.404 0.000 0.000
0.000 3.790 0.000
-4.126 0.000 9.322
K Cu Tc Te Se
2 2 2 2 4
Direct
0.244 0.250 0.250
0.756 0.750 0.750
0.074 0.250 0.607
0.926 0.750 0.393
0.310 0.750 0.841
0.690 0.250 0.159
0.261 0.750 0.560
0.739 0.250 0.440
0.109 0.250 0.850
0.462 0.750 0.116
0.538 0.250 0.884
0.891 0.750 0.150

KZrCuTe2Se (GGA-PBE, optimized geometry); space-group type = Cmcm, No. 63
1.0
2.023 -7.846 0.000
2.023 7.846 0.000
0.000 0.000 10.484
K Zr Cu Te Se
2 2 2 4 2
Direct
0.235 0.765 0.750
0.765 0.235 0.250
0.500 0.500 0.000
0.500 0.500 0.500
0.031 0.969 0.250
0.969 0.031 0.750
0.130 0.870 0.052
0.130 0.870 0.448
0.870 0.130 0.552
0.870 0.130 0.948
0.441 0.559 0.250
0.559 0.441 0.750

KUCuSe3 (GGA-PBE, optimized geometry); space-group type = Cmcm, No. 63
1.0
2.051 -7.306 0.000
2.051 7.306 0.000
0.000 0.000 10.698
K U Cu Se
2 2 2 6
Direct
0.246 0.754 0.750
0.754 0.246 0.250
0.500 0.500 0.000
0.500 0.500 0.500
0.033 0.967 0.250
0.967 0.033 0.750
0.128 0.872 0.061
0.128 0.872 0.439
0.434 0.566 0.250
0.566 0.434 0.750
0.872 0.128 0.561
0.872 0.128 0.939

KZrCu3Se4 (GGA-PBE, optimized geometry); space-group type = P2_1/m, No. 11; energy relative to the lowest polymorph listed for this composition = 0.0 kJ/mol of formula units
1.0
5.902 0.000 0.000
0.000 7.701 0.000
-2.833 0.000 9.552
K Zr Cu Se
2 2 6 8
Direct
0.200 0.250 0.382
0.800 0.750 0.618
0.138 0.250 0.784
0.862 0.750 0.216
0.286 0.522 0.003
0.286 0.978 0.003
0.361 0.750 0.212
0.639 0.250 0.788
0.714 0.022 0.997
0.714 0.478 0.997
0.027 0.250 0.018
0.226 0.750 0.422
0.393 0.518 0.779
0.393 0.982 0.779
0.607 0.018 0.221
0.607 0.482 0.221
0.774 0.250 0.578
0.973 0.750 0.982

KZrCuSe3 (GGA-PBE, optimized geometry); space-group type = Pnma, No. 62
1.0
15.116 0.000 0.000
0.000 3.922 0.000
0.000 0.000 10.406
K Zr Cu Se
4 4 4 12
Direct
0.234 0.250 0.041
0.266 0.750 0.541
0.734 0.250 0.459
0.766 0.750 0.959
0.011 0.250 0.324
0.489 0.750 0.824
0.511 0.250 0.176
0.989 0.750 0.676
0.009 0.750 0.094
0.491 0.250 0.594
0.509 0.750 0.406
0.991 0.250 0.906
0.091 0.750 0.881
0.092 0.250 0.568
0.127 0.750 0.255
0.373 0.250 0.755
0.408 0.750 0.068
0.409 0.250 0.381
0.591 0.750 0.619
0.592 0.250 0.932
0.627 0.750 0.245
0.873 0.250 0.745
0.908 0.750 0.432
0.909 0.250 0.119

KZrCuSe3 (GGA-PBE, optimized geometry); space-group type = Cmcm, No. 63
1.0
1.949 -7.406 0.000
1.949 7.406 0.000
0.000 0.000 10.226
K Zr Cu Se
2 2 2 6
Direct
0.249 0.751 0.750
0.751 0.249 0.250
0.500 0.500 0.000
0.500 0.500 0.500
0.033 0.967 0.250
0.967 0.033 0.750
0.124 0.876 0.053
0.124 0.876 0.447
0.432 0.568 0.250
0.568 0.432 0.750
0.876 0.124 0.553
0.876 0.124 0.947

KZrCuSe3 (GGA-PBE, optimized geometry); space-group type = P2_1/m, No. 11
1.0
8.359 0.000 0.000
0.000 3.918 0.000
-3.919 0.000 9.388
K Zr Cu Se
2 2 2 6
Direct
0.237 0.250 0.209
0.763 0.750 0.791
0.194 0.750 0.668
0.806 0.250 0.332
0.415 0.250 0.900
0.585 0.750 0.100
0.052 0.750 0.370
0.260 0.750 0.945
0.412 0.250 0.659
0.588 0.750 0.341
0.740 0.250 0.055
0.948 0.250 0.630

KZrCu3Se4 (GGA-PBE, optimized geometry); space-group type = P-43m, No. 215; energy relative to the lowest polymorph listed for this composition = 72.8 kJ/mol of formula units
1.0
6.216 0.000 0.000
0.000 6.216 0.000
0.000 0.000 6.216
K Zr Cu Se
1 1 3 4
Direct
0.000 0.000 0.000
0.500 0.500 0.500
0.000 0.500 0.500
0.500 0.000 0.500
0.500 0.500 0.000
0.269 0.269 0.269
0.269 0.731 0.731
0.731 0.269 0.731
0.731 0.731 0.269

Number 1: final energy -4.629 eV per atom. Number 2: final energy -4.750 eV per atom. Number 3: final energy -5.492 eV per atom. Number 4: final energy -4.595 eV per atom. Number 5: final energy -5.099 eV per atom. Number 6: final energy -5.097 eV per atom. Number 7: final energy -5.094 eV per atom. Number 8: final energy -4.511 eV per atom.